The following is a GGA-PBE calculation of a relaxed Cs2TlAuBr6 crystal, from Alexandria via LeMat-Bulk.

POSCAR file:
```
Cs2TlAuBr6
1.0
8.012 0.000 0.000
4.006 6.939 0.000
4.006 2.313 6.542
Cs Tl Au Br
2 1 1 6
direct
0.750 0.750 0.750 Cs
0.250 0.250 0.250 Cs
0.500 0.500 0.500 Tl
0.000 0.000 0.000 Au
0.760 0.240 0.240 Br
0.240 0.240 0.760 Br
0.240 0.760 0.760 Br
0.240 0.760 0.240 Br
0.760 0.240 0.760 Br
0.760 0.760 0.240 Br
```

Results
Formation energy from raw total energies: -963 meV per atom
Total DFT energy (no corrections): -2.701 eV per atom
Theoretical density: 5.2 g/cm3